# 1
Material: AlInSiW2
Method: DFT, GGA-PBE
State: optimized geometry

```
AlInSiW2
1.0
4.673 0.000 0.000
0.000 4.673 0.000
0.000 0.000 4.722
Al In Si W
1 1 1 2
Cartesian
0.000 0.000 0.000
0.000 0.000 2.361
2.337 2.337 2.361
0.000 2.337 0.000
2.337 0.000 0.000
```

---

# 2
Material: YAl2InSi
Method: DFT, GGA-PBE
State: optimized geometry

```
YAl2InSi
1.0
5.141 0.000 0.000
0.000 5.141 0.000
0.000 0.000 5.088
Y Al In Si
1 2 1 1
Cartesian
0.000 0.000 0.000
0.000 2.570 2.544
2.570 0.000 2.544
2.570 2.570 2.544
2.570 2.570 0.000
```

---

# 3
Material: YAl2InSi
Method: DFT, GGA-PBE
State: optimized geometry

```
YAl2InSi
1.0
4.781 0.000 0.000
0.000 4.781 0.000
0.000 0.000 5.393
Y Al In Si
1 2 1 1
Cartesian
0.000 0.000 0.000
0.000 2.390 2.696
2.390 0.000 2.696
2.390 2.390 0.000
0.000 0.000 2.696
```

---

Energy relative to the elements, uncorrected values (in eV/atom) by entry order: 1.908, 0.676, 0.137.